(1)
{
  "formula": "Ca4Hg3Pb",
  "functional": "PBE-GGA",
  "state": "relaxed",
  "density_g_cm3": 7.18,
  "dos_ef_per_ev_atom": 0.578,
  "magnetic_moment_mub_per_fu": 0.0,
  "formation_enthalpy_0k_ev_per_atom": -0.57,
  "cell": [[-2.711, 2.711, 7.622], [2.711, -2.711, 7.622], [2.711, 2.711, -7.622]],
  "species": ["Ca", "Ca", "Ca", "Ca", "Hg", "Hg", "Hg", "Pb"],
  "fractional_positions": [[0.128, 0.628, 0.500], [0.372, 0.872, 0.500], [0.628, 0.128, 0.500], [0.872, 0.372, 0.500], [0.000, 0.000, 0.000], [0.249, 0.249, 0.000], [0.751, 0.751, 0.000], [0.500, 0.500, 0.000]]
}


(2)
{
  "formula": "CaHg2Pb",
  "functional": "PBE-GGA",
  "state": "relaxed",
  "density_g_cm3": 8.91,
  "dos_ef_per_ev_atom": 0.512,
  "magnetic_moment_mub_per_fu": 0.0,
  "formation_enthalpy_0k_ev_per_atom": -0.20,
  "cell": [[-2.349, 2.349, 10.946], [2.349, -2.349, 10.946], [2.349, 2.349, -10.946]],
  "species": ["Ca", "Ca", "Hg", "Hg", "Hg", "Hg", "Pb", "Pb"],
  "fractional_positions": [[0.000, 0.000, 0.000], [0.750, 0.250, 0.500], [0.133, 0.625, 0.008], [0.375, 0.383, 0.508], [0.617, 0.125, 0.992], [0.875, 0.867, 0.492], [0.250, 0.750, 0.500], [0.500, 0.500, 0.000]]
}


(3)
{
  "formula": "Ca4HgPb",
  "functional": "PBE-GGA",
  "state": "relaxed",
  "density_g_cm3": 4.53,
  "dos_ef_per_ev_atom": 0.745,
  "magnetic_moment_mub_per_fu": 0.0,
  "relative_energy_mev_per_atom": 0,
  "formation_enthalpy_0k_ev_per_atom": -0.41,
  "cell": [[4.973, -7.198, 0.000], [4.973, 7.198, 0.000], [-3.363, 0.000, 5.820]],
  "species": ["Ca", "Ca", "Ca", "Ca", "Ca", "Ca", "Ca", "Ca", "Hg", "Hg", "Pb", "Pb"],
  "fractional_positions": [[0.051, 0.698, 0.912], [0.240, 0.363, 0.721], [0.302, 0.949, 0.588], [0.363, 0.240, 0.221], [0.637, 0.760, 0.779], [0.698, 0.051, 0.412], [0.760, 0.637, 0.279], [0.949, 0.302, 0.088], [0.006, 0.994, 0.750], [0.994, 0.006, 0.250], [0.361, 0.639, 0.250], [0.639, 0.361, 0.750]]
}


(4)
{
  "formula": "CaHgPb3",
  "functional": "PBE-GGA",
  "state": "relaxed",
  "density_g_cm3": 9.30,
  "dos_ef_per_ev_atom": 0.450,
  "magnetic_moment_mub_per_fu": 0.0,
  "relative_energy_mev_per_atom": 0,
  "formation_enthalpy_0k_ev_per_atom": -0.19,
  "cell": [[9.089, -2.408, 0.000], [9.089, 2.408, 0.000], [-3.170, 0.000, 7.033]],
  "species": ["Ca", "Ca", "Hg", "Hg", "Pb", "Pb", "Pb", "Pb", "Pb", "Pb"],
  "fractional_positions": [[0.053, 0.053, 0.280], [0.947, 0.947, 0.720], [0.422, 0.422, 0.995], [0.578, 0.578, 0.005], [0.172, 0.172, 0.945], [0.260, 0.260, 0.641], [0.402, 0.402, 0.383], [0.598, 0.598, 0.617], [0.740, 0.740, 0.359], [0.828, 0.828, 0.055]]
}


(5)
{
  "formula": "Ca2Hg8Pb",
  "functional": "PBE-GGA",
  "state": "relaxed",
  "density_g_cm3": 10.78,
  "dos_ef_per_ev_atom": 0.408,
  "magnetic_moment_mub_per_fu": 0.0,
  "relative_energy_mev_per_atom": 0,
  "formation_enthalpy_0k_ev_per_atom": -0.25,
  "cell": [[8.559, -2.444, 0.000], [8.559, 2.444, 0.000], [-2.504, 0.000, 6.970]],
  "species": ["Ca", "Ca", "Hg", "Hg", "Hg", "Hg", "Hg", "Hg", "Hg", "Hg", "Pb"],
  "fractional_positions": [[0.219, 0.219, 0.174], [0.781, 0.781, 0.826], [0.032, 0.032, 0.219], [0.150, 0.150, 0.692], [0.335, 0.335, 0.609], [0.395, 0.395, 0.056], [0.605, 0.605, 0.944], [0.665, 0.665, 0.391], [0.850, 0.850, 0.308], [0.968, 0.968, 0.781], [0.500, 0.500, 0.500]]
}


(6)
{
  "formula": "Ca3HgPb",
  "functional": "PBE-GGA",
  "state": "relaxed",
  "density_g_cm3": 4.53,
  "dos_ef_per_ev_atom": 1.146,
  "magnetic_moment_mub_per_fu": 0.0,
  "relative_energy_mev_per_atom": 357,
  "formation_enthalpy_0k_ev_per_atom": -0.13,
  "cell": [[5.783, 0.000, 0.000], [0.000, 5.783, 0.000], [0.000, 0.000, 5.783]],
  "species": ["Ca", "Ca", "Ca", "Hg", "Pb"],
  "fractional_positions": [[0.000, 0.000, 0.500], [0.000, 0.500, 0.000], [0.500, 0.000, 0.000], [0.000, 0.000, 0.000], [0.500, 0.500, 0.500]]
}


(7)
{
  "formula": "Ca2HgPb",
  "functional": "PBE-GGA",
  "state": "relaxed",
  "density_g_cm3": 6.42,
  "dos_ef_per_ev_atom": 0.730,
  "magnetic_moment_mub_per_fu": 0.0,
  "formation_enthalpy_0k_ev_per_atom": -0.40,
  "cell": [[4.875, -1.978, 0.000], [4.875, 1.978, 0.000], [-1.655, 0.000, 6.541]],
  "species": ["Ca", "Ca", "Hg", "Pb"],
  "fractional_positions": [[0.248, 0.248, 0.249], [0.752, 0.752, 0.751], [0.500, 0.500, 0.000], [0.000, 0.000, 0.500]]
}


(8)
{
  "formula": "CaHg2Pb",
  "functional": "PBE-GGA",
  "state": "relaxed",
  "density_g_cm3": 9.82,
  "dos_ef_per_ev_atom": 0.428,
  "magnetic_moment_mub_per_fu": 0.0,
  "formation_enthalpy_0k_ev_per_atom": -0.30,
  "cell": [[5.584, -2.290, 0.000], [5.584, 2.290, 0.000], [-1.910, 0.000, 4.288]],
  "species": ["Ca", "Hg", "Hg", "Pb"],
  "fractional_positions": [[0.000, 0.000, 0.000], [0.249, 0.249, 0.749], [0.501, 0.501, 0.504], [0.752, 0.752, 0.253]]
}


(9)
{
  "formula": "Ca2HgPb2",
  "functional": "PBE-GGA",
  "state": "relaxed",
  "density_g_cm3": 7.20,
  "dos_ef_per_ev_atom": 0.605,
  "magnetic_moment_mub_per_fu": 0.0,
  "relative_energy_mev_per_atom": 80,
  "formation_enthalpy_0k_ev_per_atom": -0.35,
  "cell": [[8.679, 0.000, 0.000], [0.000, 8.679, 0.000], [0.000, 0.000, 4.257]],
  "species": ["Ca", "Ca", "Ca", "Ca", "Hg", "Hg", "Pb", "Pb", "Pb", "Pb"],
  "fractional_positions": [[0.173, 0.327, 0.000], [0.327, 0.827, 0.000], [0.673, 0.173, 0.000], [0.827, 0.673, 0.000], [0.000, 0.000, 0.000], [0.500, 0.500, 0.000], [0.126, 0.626, 0.500], [0.374, 0.126, 0.500], [0.626, 0.874, 0.500], [0.874, 0.374, 0.500]]
}


(10)
{
  "formula": "Ca3Hg7Pb",
  "functional": "PBE-GGA",
  "state": "relaxed",
  "density_g_cm3": 9.52,
  "dos_ef_per_ev_atom": 0.420,
  "magnetic_moment_mub_per_fu": 0.0,
  "formation_enthalpy_0k_ev_per_atom": -0.33,
  "cell": [[2.083, -12.356, 0.000], [2.083, 12.356, 0.000], [0.000, 0.000, 11.732]],
  "species": ["Ca", "Ca", "Ca", "Ca", "Ca", "Ca", "Hg", "Hg", "Hg", "Hg", "Hg", "Hg", "Hg", "Hg", "Hg", "Hg", "Hg", "Hg", "Hg", "Hg", "Pb", "Pb"],
  "fractional_positions": [[0.080, 0.920, 0.554], [0.080, 0.920, 0.946], [0.234, 0.766, 0.250], [0.766, 0.234, 0.750], [0.920, 0.080, 0.054], [0.920, 0.080, 0.446], [0.208, 0.792, 0.586], [0.208, 0.792, 0.914], [0.336, 0.664, 0.586], [0.336, 0.664, 0.914], [0.373, 0.627, 0.250], [0.487, 0.513, 0.625], [0.487, 0.513, 0.875], [0.513, 0.487, 0.125], [0.513, 0.487, 0.375], [0.627, 0.373, 0.750], [0.664, 0.336, 0.086], [0.664, 0.336, 0.414], [0.792, 0.208, 0.086], [0.792, 0.208, 0.414], [0.095, 0.905, 0.250], [0.905, 0.095, 0.750]]
}